Here is an optimized crystal structure of Ca2AlBAu from Alexandria via LeMat-Bulk. Energies are from PBEsol.

Cell lengths 5.618, 5.618, 4.048 Å; angles 90.00, 90.00, 90.00 degrees
Space group P4/mmm (No. 123)
Asymmetric unit:
Ca 0.000 0.500 0.000 x2
Al 0.000 0.000 0.500 x1
B 0.500 0.500 0.500 x1
Au 0.500 0.500 0.000 x1

Summary:
Theoretical density   4.1 g cm⁻³
D(E_F)   3.5 states/eV/cell
Formation enthalpy at 0 K   17.03 kJ per mole of atoms
Calculated total energy   -3.68 eV/atom